Here is an optimized crystal structure of PuGe3 from the Alexandria database. Energies are from PBE.

Computed properties:
SG: No. 139
Formation energy (eV/atom): 0.04

a = 4.1079 Å, b = 4.1079 Å, c = 6.2126 Å
α = 109.31°, β = 109.31°, γ = 90.00°
With the nearest neighbours (Å) after each atom.
Sites, in units of the cell vectors:
1 Ge 0.2758 0.2758 0.5515  1 Ge 2.46
2 Ge 0.7242 0.7242 0.4485  1 Ge 2.46
3 Ge 0.5000 0.5000 0.0000  2 Ge 2.46
4 Pu 0.0000 0.0000 0.0000  6 Ge 2.90-3.03



Here is an optimized crystal structure of MgTcSnH from the Alexandria database. Energies are from PBE.

Computed properties:
SG: No. 99
ΔE to the lowest computed polymorph (meV/atom): 91

a = 3.3307 Å, b = 3.3307 Å, c = 5.9665 Å
α = 90.00°, β = 90.00°, γ = 90.00°
With the nearest neighbours (Å) after each atom.
Sites, in units of the cell vectors:
1 Tc 0.5000 0.5000 0.8885  1 H 1.70
2 H 0.5000 0.5000 0.6043  1 Tc 1.70
3 Sn 0.0000 0.0000 0.1304  4 Tc 2.76, 2 Mg 2.95-3.02
4 Mg 0.0000 0.0000 0.6250  4 H 2.36



Here is an optimized crystal structure of Y2Ga3GeRh4 from the Alexandria database. Energies are from PBE.

Computed properties:
SG: No. 115
Formation energy (eV/atom): -0.80

a = 4.2990 Å, b = 4.2990 Å, c = 9.8343 Å
α = 90.00°, β = 90.00°, γ = 90.00°
With the nearest neighbours (Å) after each atom.
Sites, in units of the cell vectors:
1 Ga 0.5000 0.0000 0.8731  5 Rh 2.44-2.49
2 Ga 0.0000 0.5000 0.1269  5 Rh 2.44-2.49
3 Ga 0.0000 0.0000 0.5000  4 Rh 2.48
4 Y 0.5000 0.0000 0.2388  8 Rh 3.18-3.32, 6 Ga 3.23-3.35, 2 Ge 3.35
5 Y 0.0000 0.5000 0.7612  8 Rh 3.18-3.32, 6 Ga 3.23-3.35, 2 Ge 3.35
6 Ge 0.5000 0.5000 0.5000  4 Rh 2.48
7 Rh 0.0000 0.5000 0.3748  3 Ga 2.44-2.48, 2 Ge 2.48
8 Rh 0.0000 0.0000 0.0000  4 Ga 2.49
9 Rh 0.5000 0.0000 0.6252  3 Ga 2.44-2.48, 2 Ge 2.48
10 Rh 0.5000 0.5000 0.0000  4 Ga 2.49



Here is an optimized crystal structure of LiAuBr2 from the Alexandria database. Energies are from PBE.

Computed properties:
SG: No. 47
ΔE to the lowest computed polymorph (meV/atom): 183
E_form (uncorrected) (eV/atom): -0.5988

a = 3.8305 Å, b = 7.8280 Å, c = 3.7819 Å
α = 90.00°, β = 90.00°, γ = 90.00°
With the nearest neighbours (Å) after each atom.
Sites, in units of the cell vectors:
1 Au 0.0000 0.5000 0.5000  4 Br 2.69
2 Br 0.0000 0.0000 0.0000  4 Li 2.69
3 Br 0.5000 0.5000 0.0000  4 Au 2.69
4 Li 0.5000 0.0000 0.5000  4 Br 2.69



Here is an optimized crystal structure of TbAl3 from the Alexandria database. Energies are from PBE.

Computed properties:
SG: No. 221
Formation energy (eV/atom): -0.42

a = 4.2706 Å, b = 4.2706 Å, c = 4.2707 Å
α = 90.00°, β = 90.00°, γ = 90.00°
With the nearest neighbours (Å) after each atom.
Sites, in units of the cell vectors:
1 Al 0.0000 0.0000 0.9166  8 Al 3.02, 4 Tb 3.02
2 Al 0.5000 0.5000 0.9166  8 Al 3.02, 4 Tb 3.02
3 Al 0.5000 0.0000 0.4170  8 Al 3.02, 4 Tb 3.02
4 Tb 0.0000 0.5000 0.4165  12 Al 3.02



Here is an optimized crystal structure of Na4ZrU3N8 from the Alexandria database. Energies are from PBE.

Computed properties:
SG: No. 166
E_form (uncorrected) (eV/atom): -1.0659

a = 6.9029 Å, b = 6.9505 Å, c = 6.9029 Å
α = 119.79°, β = 120.00°, γ = 90.00°
With the nearest neighbours (Å) after each atom.
Sites, in units of the cell vectors:
1 N 0.2717 0.3154 0.5434  3 U 2.25
2 N 0.7689 0.3156 0.5377  2 U 2.24, 1 Zr 2.28
3 N 0.2311 0.6844 0.4623  2 U 2.24, 1 Zr 2.28
4 N 0.7283 0.6846 0.4566  3 U 2.25
5 N 0.2777 0.3156 0.0465  2 U 2.24, 1 Zr 2.28
6 N 0.7688 0.3156 0.0465  2 U 2.24, 1 Zr 2.28
7 N 0.7223 0.6844 0.9535  2 U 2.24, 1 Zr 2.28
8 N 0.2312 0.6844 0.9535  2 U 2.24, 1 Zr 2.28
9 Na 0.0000 0.0000 0.0000  6 N 2.68-2.70
10 Na 0.0000 0.0000 0.5000  6 N 2.68-2.70
11 Na 0.5000 0.0000 0.5000  6 N 2.68-2.70
12 Na 0.5000 0.0000 0.0000  6 N 2.66
13 U 0.5000 0.5000 0.0000  6 N 2.24-2.25
14 U 0.5000 0.5000 0.5000  6 N 2.24-2.25
15 U 0.0000 0.5000 0.5000  6 N 2.24-2.25
16 Zr 0.0000 0.5000 0.0000  6 N 2.28



Here is an optimized crystal structure of ZrPa2MoN6 from the Alexandria database. Energies are from PBE.

Computed properties:
SG: No. 146
E_form (uncorrected) (eV/atom): -1.2062

a = 5.7003 Å, b = 5.7001 Å, c = 5.8026 Å
α = 60.58°, β = 60.57°, γ = 60.00°
With the nearest neighbours (Å) after each atom.
Sites, in units of the cell vectors:
1 N 0.1912 0.9622 0.2542  1 Mo 2.04
2 N 0.1132 0.4378 0.7612  1 Zr 2.12, 1 Mo 2.18, 2 Pa 2.26-2.33
3 N 0.9622 0.5925 0.2543  1 Mo 2.04
4 N 0.5924 0.1912 0.2542  1 Mo 2.04
5 N 0.6879 0.1132 0.7611  1 Zr 2.12, 1 Mo 2.18, 2 Pa 2.26-2.33
6 N 0.4378 0.6879 0.7611  1 Zr 2.12, 1 Mo 2.18, 2 Pa 2.26-2.33
7 Zr 0.8057 0.8056 0.5830  6 N 2.12-2.33
8 Mo 0.3127 0.3126 0.0619  6 N 2.04-2.18
9 Pa 0.0300 0.0301 0.9099  6 N 2.26-2.38
10 Pa 0.5286 0.5285 0.4143  6 N 2.33



Here is an optimized crystal structure of LiLuSiPt from the Alexandria database. Energies are from PBE.

Computed properties:
SG: No. 216
E_form (uncorrected) (eV/atom): -0.8535

a = 4.4995 Å, b = 4.4995 Å, c = 4.4995 Å
α = 60.00°, β = 60.00°, γ = 60.00°
With the nearest neighbours (Å) after each atom.
Sites, in units of the cell vectors:
1 Si 0.5000 0.5000 0.5000  4 Pt 2.76, 4 Li 2.76
2 Pt 0.7500 0.7500 0.7500  4 Si 2.76, 4 Lu 2.76
3 Li 0.2500 0.2500 0.2500  4 Si 2.76, 4 Lu 2.76
4 Lu 0.0000 0.0000 0.0000  4 Li 2.76, 4 Pt 2.76



What did we get for energy? Answer: -0.258 -0.177 -0.235 -0.100 -0.161 -0.302 -0.369 -0.196 hartree per atom, in the order shown.